# HgBi3Br

HgBi3Br after structural relaxation (PBE, Alexandria via LeMat-Bulk).

Cell lengths 5.785, 5.785, 5.785 Å; angles 90.00, 90.00, 90.00 degrees
Fractional coordinates of all 5 atoms:
Hg: 0.000 0.000 0.000
Bi: 0.000 0.500 0.500
Bi: 0.500 0.000 0.500
Bi: 0.500 0.500 0.000
Br: 0.500 0.500 0.500

Properties
Distance to the lowest polymorph of the same formula ... 180 meV per atom
D(E_F) ... 1.36 states/eV/atom
V ... 38.711 A^3/atom
SG ... Pm-3m, No. 221

***

# Ti2ZnOs2

Ti2ZnOs2 after structural relaxation (PBE, Alexandria via LeMat-Bulk).

Cell lengths 7.273, 7.273, 3.023 Å; angles 90.00, 90.00, 90.00 degrees
Fractional coordinates of all 10 atoms:
Ti: 0.153 0.347 0.000
Ti: 0.347 0.847 0.000
Ti: 0.653 0.153 0.000
Ti: 0.847 0.653 0.000
Zn: 0.000 0.000 0.500
Zn: 0.500 0.500 0.500
Os: 0.145 0.645 0.500
Os: 0.355 0.145 0.500
Os: 0.645 0.855 0.500
Os: 0.855 0.355 0.500

Properties
D(E_F) ... 0.48 states/eV/atom
V ... 15.987 A^3/atom
E_form ... -0.177 eV/atom
SG ... P4/mbm, No. 127

***

# KBi

KBi after structural relaxation (PBE, Alexandria via LeMat-Bulk).

Cell lengths 7.369, 7.362, 13.796 Å; angles 90.00, 114.10, 90.00 degrees
Fractional coordinates of all 16 atoms:
K: 0.225 0.092 0.327
K: 0.225 0.408 0.827
K: 0.247 0.670 0.541
K: 0.247 0.830 0.041
K: 0.753 0.170 0.959
K: 0.753 0.330 0.459
K: 0.775 0.592 0.173
K: 0.775 0.908 0.673
Bi: 0.313 0.173 0.616
Bi: 0.313 0.327 0.116
Bi: 0.313 0.592 0.289
Bi: 0.313 0.908 0.789
Bi: 0.687 0.092 0.211
Bi: 0.687 0.408 0.711
Bi: 0.687 0.673 0.884
Bi: 0.687 0.827 0.384

Properties
V ... 42.699 A^3/atom
E_form ... -0.359 eV/atom
SG ... P2_1/c, No. 14

***

# Tb2CeN3

Tb2CeN3 after structural relaxation (PBE, Alexandria via LeMat-Bulk).

Cell lengths 3.522, 3.522, 8.618 Å; angles 90.00, 90.00, 120.00 degrees
Fractional coordinates of all 6 atoms:
Tb: 0.333 0.667 0.162
Tb: 0.667 0.333 0.838
Ce: 0.000 0.000 0.500
N: 0.000 0.000 0.000
N: 0.333 0.667 0.665
N: 0.667 0.333 0.335

Properties
D(E_F) ... 0.42 states/eV/atom
V ... 15.433 A^3/atom
SG ... P-3m1, No. 164
DFT total energy ... -49.83 eV/f.u.